[1]
The following is a GGA-PBE calculation of a relaxed structure of LiAlReOs, from the Alexandria database.

Cell and atoms, written as CIF:
```
data_LiAlReOs
_space_group_name_H-M_alt 'F -4 3 m'
_space_group_IT_number 216
_space_group_name_Hall 'F -4 2 3'
_cell_length_a 6.021
_cell_length_b 6.021
_cell_length_c 6.021
_cell_angle_alpha 90.00
_cell_angle_beta 90.00
_cell_angle_gamma 90.00
loop_
_atom_site_label
_atom_site_type_symbol
_atom_site_fract_x
_atom_site_fract_y
_atom_site_fract_z
Li1 Li 0.000 0.000 0.000
Al1 Al 0.250 0.250 0.250
Re1 Re 0.250 0.250 0.750
Os1 Os 0.000 0.000 0.500
```

Output
Offset from the most stable computed form ... 0 meV per atom
Spin magnetization ... 0.00 Bohr magnetons per cell
Raw total energy ... -7.551 eV per atom
Formation energy ... -0.2178 eV/atom


[2]
The following is a GGA-PBE calculation of a relaxed structure of Tb4HoEr5, from the Alexandria database.

Cell and atoms, written as CIF:
```
data_Tb4HoEr5
_space_group_name_H-M_alt 'P 1'
_space_group_IT_number 1
_cell_length_a 6.224
_cell_length_b 6.657
_cell_length_c 9.121
_cell_angle_alpha 107.68
_cell_angle_beta 90.01
_cell_angle_gamma 117.87
loop_
_space_group_symop_operation_xyz
'x,y,z'
loop_
_atom_site_label
_atom_site_type_symbol
_atom_site_fract_x
_atom_site_fract_y
_atom_site_fract_z
Tb1 Tb 0.000 0.000 0.000
Tb2 Tb 0.133 0.600 0.100
Tb3 Tb 0.400 0.801 0.799
Tb4 Tb 0.733 0.800 0.301
Ho1 Ho 0.799 0.600 0.600
Er1 Er 0.200 0.400 0.401
Er2 Er 0.333 0.001 0.500
Er3 Er 0.532 0.400 0.900
Er4 Er 0.601 0.200 0.201
Er5 Er 0.933 0.200 0.699
```

Output
Offset from the most stable computed form ... 0 meV per atom
Spin magnetization ... 0.00 Bohr magnetons per cell
Raw total energy ... -4.588 eV per atom
Formation energy ... 0.0036 eV/atom


[3]
The following is a GGA-PBE calculation of a relaxed structure of Na4Sc3SiO8, from the Alexandria database.

Cell and atoms, written as CIF:
```
data_Na4Sc3SiO8
_space_group_name_H-M_alt 'R -3 m'
_space_group_IT_number 166
_space_group_name_Hall '-R 3 2"'
_cell_length_a 6.2420
_cell_length_b 6.2420
_cell_length_c 16.3937
_cell_angle_alpha 90.00
_cell_angle_beta 90.00
_cell_angle_gamma 120.00
loop_
_atom_site_label
_atom_site_type_symbol
_atom_site_fract_x
_atom_site_fract_y
_atom_site_fract_z
Na1 Na 0.0000 0.0000 0.0000
Na2 Na 0.0000 0.5000 0.0000
Sc1 Sc 0.0000 0.5000 0.5000
Si1 Si 0.0000 0.0000 0.5000
O1 O 0.0000 0.0000 0.2361
O2 O 0.0405 0.5203 0.2296
```

Output
Spin magnetization ... 0.00 Bohr magnetons per cell
Raw total energy ... -6.879 eV per atom
Formation energy without anion corrections ... -3927 kJ/mol of formula units


[4]
The following is a GGA-PBE calculation of a relaxed structure of ZrHgW2, from the Alexandria database.

Cell and atoms, written as CIF:
```
data_ZrHgW2
_space_group_name_H-M_alt 'P 4 m m'
_space_group_IT_number 99
_cell_length_a 3.275
_cell_length_b 3.275
_cell_length_c 7.048
_cell_angle_alpha 90.00
_cell_angle_beta 90.00
_cell_angle_gamma 90.00
loop_
_space_group_symop_operation_xyz
'x,y,z'
'-y,x,z'
'-x,-y,z'
'y,-x,z'
'-x,y,z'
'y,x,z'
'x,-y,z'
'-y,-x,z'
loop_
_atom_site_label
_atom_site_type_symbol
_atom_site_fract_x
_atom_site_fract_y
_atom_site_fract_z
Zr1 Zr 0.000 0.000 0.000
Hg1 Hg 0.500 0.500 0.291
W1 W 0.000 0.000 0.556
W2 W 0.500 0.500 0.752
```

Output
Spin magnetization ... 0.00 Bohr magnetons per cell
Raw total energy ... -8.505 eV per atom
Formation energy ... 0.1844 eV/atom